Hf2TaHRh | PBE-GGA | relaxed

The value obtained for the offset from the most stable computed form is 27 meV/atom. As for the density: 13.84 Mg/m³.

The space group is P4/mmm (No. 123) and the conventional cell measures 4.655, 4.655 and 3.554 Å, with angles of 90.00, 90.00 and 90.00 degrees. The distinct sites, in fractional coordinates, are Hf at (0.000, 0.500, 0.000), Ta at (0.000, 0.000, 0.500), H at (0.500, 0.500, 0.000) and Rh at (0.500, 0.500, 0.500).